1.
PrTlFeSe3: optimized geometry, PBE.

E above lowest polymorph: 16 meV/atom

Cell and atoms, written as CIF:
```
data_PrTlFeSe3
_chemical_formula_sum 'Pr4 Tl4 Fe4 Se12'
_cell_length_a 11.656
_cell_length_b 4.358
_cell_length_c 12.635
_cell_angle_alpha 90.00
_cell_angle_beta 90.00
_cell_angle_gamma 90.00
_space_group_name_H-M_alt 'P n m a'
_space_group_IT_number 62
loop_
_space_group_symop_operation_xyz
'x,y,z'
'-x,-y,-z'
'-x+1/2,-y,z+1/2'
'x+1/2,y,-z+1/2'
'x+1/2,-y+1/2,-z+1/2'
'-x+1/2,y+1/2,z+1/2'
'-x,y+1/2,-z'
'x,-y+1/2,z'
loop_
_atom_site_label
_atom_site_fract_x
_atom_site_fract_y
_atom_site_fract_z
Pr1 0.020 0.250 0.173
Tl1 0.169 0.250 0.507
Fe1 0.247 0.250 0.795
Se1 0.051 0.750 0.334
Se2 0.112 0.250 0.942
Se3 0.216 0.750 0.704
```


2.
ZnCuAgOs: optimized geometry, PBE.

energy of formation from the pure elements: 0.576 eV/atom
E above lowest polymorph: 0 meV/atom

Cell and atoms, written as CIF:
```
data_ZnCuAgOs
_chemical_formula_sum 'Zn4 Cu4 Ag4 Os4'
_cell_length_a 6.179
_cell_length_b 6.179
_cell_length_c 6.179
_cell_angle_alpha 90.00
_cell_angle_beta 90.00
_cell_angle_gamma 90.00
_space_group_name_H-M_alt 'F -4 3 m'
_space_group_IT_number 216
_space_group_name_Hall 'F -4 2 3'
loop_
_atom_site_label
_atom_site_fract_x
_atom_site_fract_y
_atom_site_fract_z
Zn1 0.000 0.000 0.000
Cu1 0.250 0.250 0.250
Ag1 0.000 0.000 0.500
Os1 0.250 0.250 0.750
```


3.
Cs2CdFeCl6: optimized geometry, PBE.

Cell and atoms, written as CIF:
```
data_Cs2CdFeCl6
_chemical_formula_sum 'Cs4 Cd2 Fe2 Cl12'
_cell_length_a 7.320
_cell_length_b 7.320
_cell_length_c 10.982
_cell_angle_alpha 90.00
_cell_angle_beta 90.00
_cell_angle_gamma 90.00
_space_group_name_H-M_alt 'I 4/m m m'
_space_group_IT_number 139
_space_group_name_Hall '-I 4 2'
loop_
_atom_site_label
_atom_site_fract_x
_atom_site_fract_y
_atom_site_fract_z
Cs1 0.000 0.500 0.250
Cd1 0.000 0.000 0.000
Fe1 0.000 0.000 0.500
Cl1 0.000 0.000 0.227
Cl2 0.229 0.229 0.500
```


4.
Y3SbAu9: optimized geometry, PBE.

Cell and atoms, written as CIF:
```
data_Y3SbAu9
_chemical_formula_sum 'Y6 Sb2 Au18'
_cell_length_a 8.1941
_cell_length_b 8.1941
_cell_length_c 9.1001
_cell_angle_alpha 90.00
_cell_angle_beta 90.00
_cell_angle_gamma 120.00
_space_group_name_H-M_alt 'P 63/m'
_space_group_IT_number 176
_space_group_name_Hall '-P 6c'
loop_
_atom_site_label
_atom_site_fract_x
_atom_site_fract_y
_atom_site_fract_z
Y1 0.0348 0.7124 0.2500
Sb1 0.0000 0.0000 0.0000
Au1 0.0341 0.6669 0.5888
Au2 0.3333 0.6667 0.0860
Au3 0.3333 0.6667 0.7500
```


5.
HfNpHg: optimized geometry, PBE.

energy of formation from the pure elements: 0.763 eV/atom
E above lowest polymorph: 0 meV/atom

Cell and atoms, written as CIF:
```
data_HfNpHg
_chemical_formula_sum 'Hf4 Np4 Hg4'
_cell_length_a 6.942
_cell_length_b 6.942
_cell_length_c 6.942
_cell_angle_alpha 90.00
_cell_angle_beta 90.00
_cell_angle_gamma 90.00
_space_group_name_H-M_alt 'F -4 3 m'
_space_group_IT_number 216
_space_group_name_Hall 'F -4 2 3'
loop_
_atom_site_label
_atom_site_fract_x
_atom_site_fract_y
_atom_site_fract_z
Hf1 0.000 0.000 0.000
Np1 0.000 0.000 0.500
Hg1 0.250 0.250 0.250
```


6.
CuAg7: optimized geometry, PBE.

energy of formation from the pure elements: 0.035 eV/atom
E above lowest polymorph: 11 meV/atom

Cell and atoms, written as CIF:
```
data_CuAg7
_chemical_formula_sum 'Cu2 Ag14'
_cell_length_a 5.819
_cell_length_b 16.215
_cell_length_c 2.910
_cell_angle_alpha 90.00
_cell_angle_beta 90.00
_cell_angle_gamma 90.00
_space_group_name_H-M_alt 'C m m m'
_space_group_IT_number 65
_space_group_name_Hall '-C 2 2'
loop_
_atom_site_label
_atom_site_fract_x
_atom_site_fract_y
_atom_site_fract_z
Cu1 0.000 0.000 0.000
Ag1 0.000 0.252 0.000
Ag2 0.000 0.500 0.000
Ag3 0.242 0.120 0.500
```


7.
Sm4Co2Hg3: optimized geometry, PBE.

energy of formation from the pure elements: -0.360 eV/atom

Cell and atoms, written as CIF:
```
data_Sm4Co2Hg3
_chemical_formula_sum 'Sm4 Co2 Hg3'
_cell_length_a 7.416
_cell_length_b 3.771
_cell_length_c 8.058
_cell_angle_alpha 90.00
_cell_angle_beta 108.32
_cell_angle_gamma 90.00
_space_group_name_H-M_alt 'P 1 2/m 1'
_space_group_IT_number 10
loop_
_space_group_symop_operation_xyz
'x,y,z'
'-x,-y,-z'
'-x,y,-z'
'x,-y,z'
loop_
_atom_site_label
_atom_site_fract_x
_atom_site_fract_y
_atom_site_fract_z
Sm1 0.093 0.000 0.224
Sm2 0.396 0.000 0.696
Co1 0.352 0.500 0.400
Hg1 0.000 0.500 0.500
Hg2 0.291 0.500 0.005
```


8.
NpCuB: optimized geometry, PBE.

E above lowest polymorph: 0 meV/atom

Cell and atoms, written as CIF:
```
data_NpCuB
_chemical_formula_sum 'Np4 Cu4 B4'
_cell_length_a 5.781
_cell_length_b 5.781
_cell_length_c 5.781
_cell_angle_alpha 90.00
_cell_angle_beta 90.00
_cell_angle_gamma 90.00
_space_group_name_H-M_alt 'F -4 3 m'
_space_group_IT_number 216
_space_group_name_Hall 'F -4 2 3'
loop_
_atom_site_label
_atom_site_fract_x
_atom_site_fract_y
_atom_site_fract_z
Np1 0.000 0.000 0.000
Cu1 0.000 0.000 0.500
B1 0.250 0.250 0.750
```


9.
MgBeAl2Cu4: optimized geometry, PBE.

E above lowest polymorph: 0 meV/atom

Cell and atoms, written as CIF:
```
data_MgBeAl2Cu4
_chemical_formula_sum 'Mg4 Be4 Al8 Cu16'
_cell_length_a 5.867
_cell_length_b 5.867
_cell_length_c 11.816
_cell_angle_alpha 90.00
_cell_angle_beta 90.00
_cell_angle_gamma 90.00
_space_group_name_H-M_alt 'I 41/a m d'
_space_group_IT_number 141
loop_
_space_group_symop_operation_xyz
'x,y,z'
'-x,-y,-z'
'-y+1/4,x+3/4,z+1/4'
'y+1/4,-x+3/4,-z+1/4'
'-x+1/2,-y,z+1/2'
'x+1/2,y,-z+1/2'
'y+1/4,-x+1/4,z+3/4'
'-y+1/4,x+1/4,-z+3/4'
'x,-y,-z'
'-x,y,z'
'-y+1/4,-x+1/4,-z+3/4'
'y+1/4,x+1/4,z+3/4'
'-x+1/2,y,-z+1/2'
'x+1/2,-y,z+1/2'
'y+1/4,x+3/4,-z+1/4'
'-y+1/4,-x+3/4,z+1/4'
'x+1/2,y+1/2,z+1/2'
'-x+1/2,-y+1/2,-z+1/2'
'-y+3/4,x+1/4,z+3/4'
'y+3/4,-x+1/4,-z+3/4'
'-x,-y+1/2,z'
'x,y+1/2,-z'
'y+3/4,-x+3/4,z+1/4'
'-y+3/4,x+3/4,-z+1/4'
'x+1/2,-y+1/2,-z+1/2'
'-x+1/2,y+1/2,z+1/2'
'-y+3/4,-x+3/4,-z+1/4'
'y+3/4,x+3/4,z+1/4'
'-x,y+1/2,-z'
'x,-y+1/2,z'
'y+3/4,x+1/4,-z+3/4'
'-y+3/4,-x+1/4,z+3/4'
loop_
_atom_site_label
_atom_site_fract_x
_atom_site_fract_y
_atom_site_fract_z
Mg1 0.000 0.250 0.375
Be1 0.000 0.250 0.875
Al1 0.000 0.250 0.134
Cu1 0.220 0.000 0.000
```


10.
SmBPb: optimized geometry, PBE.

Cell and atoms, written as CIF:
```
data_SmBPb
_chemical_formula_sum 'Sm4 B4 Pb4'
_cell_length_a 6.824
_cell_length_b 6.824
_cell_length_c 6.824
_cell_angle_alpha 90.00
_cell_angle_beta 90.00
_cell_angle_gamma 90.00
_space_group_name_H-M_alt 'F -4 3 m'
_space_group_IT_number 216
_space_group_name_Hall 'F -4 2 3'
loop_
_atom_site_label
_atom_site_fract_x
_atom_site_fract_y
_atom_site_fract_z
Sm1 0.000 0.000 0.000
B1 0.250 0.250 0.750
Pb1 0.250 0.250 0.250
```


11.
LiErPbSe3: optimized geometry, PBE.

E above lowest polymorph: 34 meV/atom

Cell and atoms, written as CIF:
```
data_LiErPbSe3
_chemical_formula_sum 'Li4 Er4 Pb4 Se12'
_cell_length_a 4.124
_cell_length_b 13.474
_cell_length_c 10.661
_cell_angle_alpha 90.00
_cell_angle_beta 90.00
_cell_angle_gamma 90.00
_space_group_name_H-M_alt 'C m c m'
_space_group_IT_number 63
_space_group_name_Hall '-C 2c 2'
loop_
_atom_site_label
_atom_site_fract_x
_atom_site_fract_y
_atom_site_fract_z
Li1 0.000 0.027 0.250
Er1 0.000 0.500 0.000
Pb1 0.000 0.252 0.750
Se1 0.000 0.138 0.062
Se2 0.000 0.420 0.250
```


12.
SnIr15: optimized geometry, PBE.

E above lowest polymorph: 43 meV/atom

Cell and atoms, written as CIF:
```
data_SnIr15
_chemical_formula_sum 'Sn2 Ir30'
_cell_length_a 4.735
_cell_length_b 35.831
_cell_length_c 4.736
_cell_angle_alpha 90.00
_cell_angle_beta 109.69
_cell_angle_gamma 90.00
_space_group_name_H-M_alt 'P 1 2/c 1'
_space_group_IT_number 13
loop_
_space_group_symop_operation_xyz
'x,y,z'
'-x,-y,-z'
'-x,y,-z+1/2'
'x,-y,z+1/2'
loop_
_atom_site_label
_atom_site_fract_x
_atom_site_fract_y
_atom_site_fract_z
Sn1 0.000 0.204 0.250
Ir1 0.000 0.251 0.750
Ir2 0.000 0.290 0.250
Ir3 0.000 0.328 0.750
Ir4 0.000 0.367 0.250
Ir5 0.000 0.404 0.750
Ir6 0.000 0.442 0.250
Ir7 0.000 0.481 0.750
Ir8 0.500 0.216 0.750
Ir9 0.500 0.251 0.250
Ir10 0.500 0.290 0.750
Ir11 0.500 0.328 0.250
Ir12 0.500 0.366 0.750
Ir13 0.500 0.404 0.250
Ir14 0.500 0.442 0.750
Ir15 0.500 0.481 0.250
```


Number 1: uncorrected energy -125.5 eV for the cell shown. Number 2: uncorrected energy -66.9 eV for the cell shown. Number 3: uncorrected energy -70.2 eV for the cell shown. Number 4: uncorrected energy -123.3 eV for the cell shown. Number 5: uncorrected energy -82.9 eV for the cell shown. Number 6: uncorrected energy -46.4 eV for the cell shown. Number 7: uncorrected energy -37.2 eV for the cell shown. Number 8: uncorrected energy -87.5 eV for the cell shown. Number 9: uncorrected energy -115.0 eV for the cell shown. Number 10: uncorrected energy -49.5 eV for the cell shown. Number 11: uncorrected energy -112.4 eV for the cell shown. Number 12: uncorrected energy -270.5 eV for the cell shown.